# PBE UHgPO6, relaxed
# calculated density = 7.8 g/cm³
# SG = No. 149
# total magnetization = 0.094 μB/atom
# formation energy (no corrections) = -1867 meV per atom
data_UHgPO6
_symmetry_space_group_name_H-M 'P 1'
_symmetry_Int_Tables_number 1
_cell_length_a 5.299
_cell_length_b 5.299
_cell_length_c 4.938
_cell_angle_alpha 90.00
_cell_angle_beta 90.00
_cell_angle_gamma 120.00
loop_
_symmetry_equiv_pos_as_xyz
'x,y,z'
loop_
_atom_site_label
_atom_site_fract_x
_atom_site_fract_y
_atom_site_fract_z
U1 0.000 0.000 0.000
Hg1 0.667 0.333 0.500
P1 0.333 0.667 0.000
O1 0.069 0.391 0.200
O2 0.069 0.679 0.800
O3 0.321 0.391 0.800
O4 0.321 0.931 0.200
O5 0.609 0.679 0.200
O6 0.609 0.931 0.800